This record from OQMD describes a relaxed HgGeIr2 crystal. The functional is PBE.

Cell lengths 4.563, 4.563, 4.563 Å; angles 60.00, 60.00, 60.00 degrees
Element x y z (fractional)
Ge (0.500, 0.500, 0.500)
Hg (0.250, 0.250, 0.250)
Ir (0.000, 0.000, 0.000)
Ir (0.750, 0.750, 0.750)



This record from OQMD describes a relaxed Hg2GeIr crystal. The functional is PBE.

Cell lengths 4.756, 4.756, 4.756 Å; angles 60.00, 60.00, 60.00 degrees
Element x y z (fractional)
Hg (0.000, 0.000, 0.000)
Ge (0.500, 0.500, 0.500)
Ir (0.250, 0.250, 0.250)
Hg (0.750, 0.750, 0.750)



Number 1: total energy -5.10 eV/atom, M_tot 0.05 μB/f.u.. Number 2: total energy -3.01 eV/atom, M_tot 0.00 μB/f.u..